(1)
DFT (PBE) results for a relaxed structure of BaLiTlAg.

## Properties
For the calculated formation energy, the calculation gives -0.257 eV per atom. Its energy above the lowest structure with this stoichiometry is 0.0 kJ per mole of atoms.

Cell lengths 4.866, 4.866, 6.539 Å; angles 111.98, 111.98, 60.14 degrees
Element x y z (fractional)
Ba 0.000 0.000 0.000
Li 0.488 0.488 0.465
Tl 0.203 0.203 0.610
Ag 0.804 0.804 0.413

(2)
DFT (PBE) results for a relaxed structure of Tb2Ho5Tm2.

## Properties
For the calculated formation energy, the calculation gives 0.190 eV per atom. Its energy above the lowest structure with this stoichiometry is 16.3 kJ per mole of atoms.

Cell lengths 10.239, 10.239, 10.239 Å; angles 86.08, 103.95, 145.83 degrees
Element x y z (fractional)
Tb 0.000 0.000 0.000
Tb 0.000 0.500 0.500
Tb 0.835 0.635 0.701
Tb 0.934 0.135 0.299
Ho 0.107 0.560 0.832
Ho 0.107 0.775 0.047
Ho 0.160 0.095 0.565
Ho 0.389 0.134 0.348
Ho 0.389 0.541 0.755
Ho 0.530 0.595 0.435
Ho 0.728 0.060 0.953
Ho 0.728 0.275 0.168
Ho 0.786 0.041 0.652
Ho 0.786 0.634 0.245
Tm 0.385 0.569 0.090
Tm 0.385 0.795 0.316
Tm 0.479 0.069 0.684
Tm 0.479 0.295 0.910

(3)
DFT (PBE) results for a relaxed structure of Mn2TcTe.

## Properties
The formation energy (no corrections) is 0.337 eV/atom.

Cell lengths 4.585, 4.585, 3.184 Å; angles 90.00, 90.00, 109.51 degrees
Element x y z (fractional)
Mn 0.000 0.500 0.000
Mn 0.500 0.000 0.000
Tc 0.000 0.000 0.500
Te 0.500 0.500 0.500

(4)
DFT (PBE) results for a relaxed structure of BaZrGe2.

## Properties
For the calculated formation energy, the calculation gives -0.395 eV per atom. Its energy above the lowest structure with this stoichiometry is 0.0 kJ per mole of atoms.

Cell lengths 7.195, 7.195, 7.195 Å; angles 35.83, 35.83, 35.83 degrees
Element x y z (fractional)
Ba 0.000 0.000 0.000
Zr 0.500 0.500 0.500
Ge 0.222 0.222 0.222
Ge 0.778 0.778 0.778

(5)
DFT (PBE) results for a relaxed structure of ScW2Cl.

## Properties
Its energy above the lowest structure with this stoichiometry is 5.1 kJ per mole of atoms. The formation energy (no corrections) is -0.049 eV/atom.

Cell lengths 9.320, 9.320, 9.320 Å; angles 19.57, 19.57, 19.57 degrees
Element x y z (fractional)
Sc 0.000 0.000 0.000
W 0.483 0.483 0.483
W 0.751 0.751 0.751
Cl 0.268 0.268 0.268

(6)
DFT (PBE) results for a relaxed structure of Be4Cl5.

## Properties
Its energy above the lowest structure with this stoichiometry is 0.0 kJ per mole of atoms. The formation energy (no corrections) is -0.318 eV/atom.

Cell lengths 6.234, 6.234, 6.234 Å; angles 107.93, 107.93, 112.61 degrees
Element x y z (fractional)
Be 0.000 0.335 0.335
Be 0.000 0.665 0.665
Be 0.335 0.000 0.335
Be 0.665 0.000 0.665
Cl 0.000 0.000 0.000
Cl 0.280 0.280 0.561
Cl 0.280 0.720 0.000
Cl 0.720 0.280 0.000
Cl 0.720 0.720 0.439

(7)
DFT (PBE) results for a relaxed structure of PrY2In2Hg2.

## Properties
For the calculated formation energy, the calculation gives -0.315 eV per atom.

Cell lengths 9.494, 9.494, 9.494 Å; angles 30.32, 30.32, 30.32 degrees
Element x y z (fractional)
Pr 0.000 0.000 0.000
Y 0.132 0.132 0.132
Y 0.868 0.868 0.868
In 0.266 0.266 0.266
In 0.734 0.734 0.734
Hg 0.429 0.429 0.429
Hg 0.571 0.571 0.571

(8)
DFT (PBE) results for a relaxed structure of Gd2DyHo.

## Properties
For the calculated formation energy, the calculation gives 0.026 eV per atom. Its energy above the lowest structure with this stoichiometry is 0.1 kJ per mole of atoms.

Cell lengths 3.555, 3.555, 10.045 Å; angles 90.00, 90.00, 90.00 degrees
Element x y z (fractional)
Gd 0.000 0.000 0.249
Gd 0.000 0.000 0.751
Dy 0.500 0.500 0.500
Ho 0.500 0.500 0.000

(9)
DFT (PBE) results for a relaxed structure of LiLaMg6.

## Properties
For the calculated formation energy, the calculation gives 0.011 eV per atom. Its energy above the lowest structure with this stoichiometry is 6.1 kJ per mole of atoms.

Cell lengths 5.113, 6.952, 6.952 Å; angles 55.06, 90.00, 90.00 degrees
Element x y z (fractional)
Li 0.000 0.000 0.000
La 0.500 0.836 0.836
Mg 0.000 0.451 0.451
Mg 0.000 0.468 0.960
Mg 0.000 0.960 0.468
Mg 0.500 0.291 0.291
Mg 0.500 0.329 0.819
Mg 0.500 0.819 0.329

(10)
DFT (PBE) results for a relaxed structure of TlGaAs2.

## Properties
For the calculated formation energy, the calculation gives -0.110 eV per atom. Its energy above the lowest structure with this stoichiometry is 0.0 kJ per mole of atoms.

Cell lengths 7.365, 7.365, 7.365 Å; angles 131.42, 131.42, 71.15 degrees
Element x y z (fractional)
Tl 0.000 0.000 0.000
Tl 0.750 0.250 0.500
Ga 0.250 0.750 0.500
Ga 0.500 0.500 0.000
As 0.159 0.625 0.034
As 0.375 0.409 0.534
As 0.591 0.125 0.966
As 0.875 0.841 0.466

(11)
DFT (PBE) results for a relaxed structure of Y2InTc2.

## Properties
For the calculated formation energy, the calculation gives -0.131 eV per atom.

Cell lengths 7.026, 7.026, 4.558 Å; angles 90.00, 90.00, 90.00 degrees
Element x y z (fractional)
Y 0.177 0.323 0.000
Y 0.323 0.823 0.000
Y 0.677 0.177 0.000
Y 0.823 0.677 0.000
In 0.000 0.000 0.500
In 0.500 0.500 0.500
Tc 0.116 0.616 0.500
Tc 0.384 0.116 0.500
Tc 0.616 0.884 0.500
Tc 0.884 0.384 0.500

(12)
DFT (PBE) results for a relaxed structure of LiMn2Fe.

## Properties
For the calculated formation energy, the calculation gives 0.453 eV per atom. Its energy above the lowest structure with this stoichiometry is 22.2 kJ per mole of atoms.

Cell lengths 3.901, 3.901, 3.901 Å; angles 60.00, 60.00, 60.00 degrees
Element x y z (fractional)
Li 0.000 0.000 0.000
Mn 0.250 0.250 0.250
Mn 0.750 0.750 0.750
Fe 0.500 0.500 0.500